1.
RbSnSN2 PBE relaxed; DOS(E_F) = 0.259 states/eV per atom; crystal system = tetragonal; formation energy from raw total energies = 0.7784 eV/atom; raw total energy = -4.371 eV per atom; space group = P4/mmm
1.0
-2.415 3.742 -0.339
-3.252 -1.880 2.417
2.182 1.801 4.337
S Sn Rb N
1 1 1 2
Cartesian
1.091 0.901 2.168
0.000 0.000 0.000
-1.742 1.831 3.207
-1.626 -0.940 1.208
-1.208 1.871 -0.169

=====

2.
Er4PtPb2 PBE relaxed; DOS(E_F) = 0.869 states/eV per atom; crystal system = monoclinic; raw total energy = -5.112 eV per atom; ΔE_f = -582 meV/atom; space group = P2_1/m
1.0
-2.700 -5.707 -2.972
5.974 -2.997 0.327
-0.033 0.979 9.577
Er Pt Pb
8 2 4
Cartesian
1.949 -3.338 1.088
4.053 -2.276 7.792
-0.812 -5.449 -0.859
-0.935 -1.892 0.930
-0.902 -5.208 2.986
4.176 -5.833 6.002
1.292 -4.386 5.844
4.143 -2.517 3.947
4.440 -2.264 0.840
-1.199 -5.461 6.093
2.722 -5.854 -0.670
0.519 -1.871 7.603
0.673 -1.979 3.799
2.568 -5.746 3.133

=====

Which of these has the lowest raw total energy? Er4PtPb2